# Ho8CdNi2 (GGA-PBE, relaxed)
data_Ho8CdNi2
_chemical_formula_sum 'Ho16 Cd2 Ni4'
_space_group_name_H-M_alt 'C 1 2/m 1'
_space_group_IT_number 12
_cell_length_a 8.492
_cell_length_b 13.237
_cell_length_c 5.349
_cell_angle_alpha 90.00
_cell_angle_beta 103.77
_cell_angle_gamma 90.00
loop_
_space_group_symop_operation_xyz
'x,y,z'
'-x,-y,-z'
'-x,y,-z'
'x,-y,z'
'x+1/2,y+1/2,z'
'-x+1/2,-y+1/2,-z'
'-x+1/2,y+1/2,-z'
'x+1/2,-y+1/2,z'
loop_
_atom_site_label
_atom_site_type_symbol
_atom_site_fract_x
_atom_site_fract_y
_atom_site_fract_z
Ho1 Ho 0.000 0.248 0.000
Ho2 Ho 0.112 0.500 0.804
Ho3 Ho 0.203 0.129 0.578
Cd1 Cd 0.000 0.000 0.000
Ni1 Ni 0.000 0.306 0.500
# - Density: 8.8 g cm⁻³
# - D(E_F): 28.2 states/eV per cell
# - Energy of formation: -0.132 eV/atom